DFT (PBE) results for IClF2 after structural relaxation.

Cell: 4.460 4.460 4.460 Å, 60.00 60.00 60.00°
Element x y z (fractional)
Cl: 0.000 0.000 0.000
F: 0.250 0.250 0.250
F: 0.750 0.750 0.750
I: 0.500 0.500 0.500

Results
The uncorrected formation energy comes out at -14 kJ/mol of formula units. Its volume is 62.7 Å³ per cell. The final energy comes out at -1.82 eV/atom. For the distance to the lowest polymorph of the same formula, the calculation gives 418 meV per atom.